Record 1
Material: Al2CdSn2
Method: DFT, PBE
State: relaxed

abc: 7.401 7.401 4.239
angles: 90.00 90.00 90.00
Space group P4/mbm (No. 127)
Symmetry-distinct sites (fractional):
Al 0.127 0.373 0.000 [4 per cell]
Cd 0.000 0.000 0.000 [2 per cell]
Sn 0.182 0.682 0.500 [4 per cell]

## Properties
As for the formation energy: 0.150 eV per atom. For the spin magnetization, the calculation gives 0.00 μB/f.u. The energy above the most stable polymorph in this dataset is 0 meV per atom. For the final energy, the calculation gives -3.131 eV per atom.

Record 2
Material: PmInAs
Method: DFT, PBE
State: relaxed

abc: 4.9985 4.9985 24.9142
angles: 90.00 90.00 120.00
Space group R-3m (No. 166, hexagonal axes)
Symmetry-distinct sites (fractional):
Pm 0.0000 0.0000 0.1002 [6 per cell]
In 0.0000 0.0000 0.3270 [6 per cell]
As 0.0000 0.0000 0.2167 [6 per cell]

## Properties
As for the formation energy: -0.725 eV per atom. For the spin magnetization, the calculation gives 0.00 μB/f.u. The energy above the most stable polymorph in this dataset is 0 meV per atom. For the final energy, the calculation gives -4.771 eV per atom.

Record 3
Material: La4Tc
Method: DFT, PBE
State: relaxed

abc: 8.964 8.964 8.452
angles: 90.00 90.00 90.00
Space group I-42d (No. 122)
Symmetry-distinct sites (fractional):
La 0.002 0.709 0.412 [16 per cell]
Tc 0.000 0.000 0.500 [4 per cell]

## Properties
As for the formation energy: -0.056 eV per atom. For the spin magnetization, the calculation gives 0.00 μB/f.u. The energy above the most stable polymorph in this dataset is 0 meV per atom. For the final energy, the calculation gives -6.071 eV per atom.

Record 4
Material: LaAl4O7
Method: DFT, PBE
State: relaxed

abc: 13.128 5.295 4.966
angles: 90.00 90.00 90.00
Space group Pmn2_1 (No. 31)
Symmetry-distinct sites (fractional):
La 0.000 0.161 0.000 [2 per cell]
Al 0.120 0.673 0.342 [4 per cell]
Al 0.248 0.827 0.823 [4 per cell]
O 0.000 0.754 0.204 [2 per cell]
O 0.131 0.750 0.680 [4 per cell]
O 0.146 0.360 0.236 [4 per cell]
O 0.215 0.874 0.173 [4 per cell]

## Properties
Its formation energy from raw total energies is -2.880 eV/atom. For the spin magnetization, the calculation gives 0.64 μB/f.u. For the final energy, the calculation gives -7.430 eV per atom.

Record 5
Material: Zr2IO2
Method: DFT, PBE
State: relaxed

abc: 4.018 4.018 10.452
angles: 90.00 90.00 90.00
Space group I4/mmm (No. 139)
Symmetry-distinct sites (fractional):
Zr 0.000 0.000 0.157 [4 per cell]
I 0.000 0.000 0.500 [2 per cell]
O 0.000 0.500 0.250 [4 per cell]

## Properties
Its formation energy from raw total energies is -1.933 eV/atom. For the spin magnetization, the calculation gives 0.00 μB/f.u. For the final energy, the calculation gives -7.646 eV per atom.

Record 6
Material: Y7Ag2Ir2
Method: DFT, PBE
State: relaxed

abc: 8.066 10.811 7.100
angles: 90.00 90.00 90.00
Space group Cmmm (No. 65)
Symmetry-distinct sites (fractional):
Y 0.000 0.000 0.000 [2 per cell]
Y 0.000 0.500 0.247 [4 per cell]
Y 0.250 0.250 0.254 [8 per cell]
Ag 0.180 0.000 0.500 [4 per cell]
Ir 0.000 0.286 0.000 [4 per cell]

## Properties
As for the formation energy: -0.365 eV per atom. For the spin magnetization, the calculation gives 0.00 μB/f.u. For the final energy, the calculation gives -6.608 eV per atom.

Record 7
Material: PaSe2Br
Method: DFT, PBE
State: relaxed

abc: 4.7892 4.7892 5.9459
angles: 90.00 90.00 120.00
Space group P-3m1 (No. 164)
Symmetry-distinct sites (fractional):
Pa 0.0000 0.0000 0.0000 [1 per cell]
Se 0.3333 0.6667 0.8615 [2 per cell]
Br 0.0000 0.0000 0.5000 [1 per cell]

## Properties
Its formation energy from raw total energies is -1.215 eV/atom. For the spin magnetization, the calculation gives 0.00 μB/f.u. The energy above the most stable polymorph in this dataset is 0 meV per atom. For the final energy, the calculation gives -5.749 eV per atom.

Record 8
Material: Dy3Ho2Er6Mg
Method: DFT, PBE
State: relaxed

abc: 6.063 10.507 11.584
angles: 90.00 100.13 90.00
Space group C2/m (No. 12)
Symmetry-distinct sites (fractional):
Dy 0.000 0.000 0.000 [2 per cell]
Dy 0.000 0.334 0.000 [4 per cell]
Ho 0.000 0.166 0.500 [4 per cell]
Er 0.248 0.334 0.748 [8 per cell]
Er 0.249 0.000 0.749 [4 per cell]
Mg 0.000 0.500 0.500 [2 per cell]

## Properties
As for the formation energy: 0.032 eV per atom. For the spin magnetization, the calculation gives 0.00 μB/f.u. For the final energy, the calculation gives -4.296 eV per atom.

Record 9
Material: PuZn4Ni4
Method: DFT, PBE
State: relaxed

abc: 7.911 7.911 4.218
angles: 90.00 90.00 90.00
Space group P4_2/n (No. 86, origin choice 2)
Symmetry-distinct sites (fractional):
Pu 0.250 0.250 0.250 [2 per cell]
Zn 0.121 0.843 0.697 [8 per cell]
Ni 0.041 0.130 0.798 [8 per cell]

## Properties
As for the formation energy: -0.026 eV per atom. For the spin magnetization, the calculation gives 4.91 μB/f.u. For the final energy, the calculation gives -4.754 eV per atom.

Record 10
Material: YSe2O8
Method: DFT, PBE
State: relaxed

abc: 9.272 9.272 9.272
angles: 90.00 90.00 90.00
Space group Fm-3m (No. 225)
Symmetry-distinct sites (fractional):
Y 0.000 0.000 0.000 [4 per cell]
Se 0.250 0.250 0.250 [8 per cell]
O 0.147 0.147 0.147 [32 per cell]

## Properties
Its formation energy from raw total energies is -1.144 eV/atom. For the spin magnetization, the calculation gives 0.60 μB/f.u. For the final energy, the calculation gives -5.971 eV per atom.

Record 11
Material: Ca2Ga4NiIr3
Method: DFT, PBE
State: relaxed

abc: 4.148 4.148 10.592
angles: 90.00 90.00 90.00
Space group P-4m2 (No. 115)
Symmetry-distinct sites (fractional):
Ca 0.000 0.500 0.243 [2 per cell]
Ga 0.000 0.000 0.500 [1 per cell]
Ga 0.000 0.500 0.874 [2 per cell]
Ga 0.500 0.500 0.500 [1 per cell]
Ni 0.500 0.500 0.000 [1 per cell]
Ir 0.000 0.000 0.000 [1 per cell]
Ir 0.000 0.500 0.638 [2 per cell]

## Properties
As for the formation energy: -0.564 eV per atom. For the spin magnetization, the calculation gives 0.00 μB/f.u. For the final energy, the calculation gives -5.412 eV per atom.

Record 12
Material: Ac3YSi6
Method: DFT, PBE
State: relaxed

abc: 12.1639 12.1639 11.7308
angles: 90.00 90.00 120.00
Space group R-3c (No. 167, hexagonal axes)
Symmetry-distinct sites (fractional):
Ac 0.0000 0.4379 0.2500 [18 per cell]
Y 0.0000 0.0000 0.0000 [6 per cell]
Si 0.0743 0.2229 0.3324 [36 per cell]

## Properties
Its formation energy from raw total energies is -0.482 eV/atom. For the spin magnetization, the calculation gives 0.00 μB/f.u. For the final energy, the calculation gives -5.614 eV per atom.

Record 13
Material: RbGa3Ag3
Method: DFT, PBE
State: relaxed

abc: 7.326 7.326 7.326
angles: 90.00 90.00 90.00
Space group Pm-3n (No. 223)
Symmetry-distinct sites (fractional):
Rb 0.000 0.000 0.000 [2 per cell]
Ga 0.000 0.250 0.500 [6 per cell]
Ag 0.000 0.500 0.250 [6 per cell]

## Properties
As for the formation energy: 0.122 eV per atom. For the spin magnetization, the calculation gives 0.00 μB/f.u. For the final energy, the calculation gives -2.535 eV per atom.

Record 14
Material: Sc3InRu
Method: DFT, PBE
State: relaxed

abc: 5.182 5.182 5.182
angles: 90.00 90.00 90.00
Space group Pm-3m (No. 221)
Symmetry-distinct sites (fractional):
Sc 0.000 0.000 0.500 [3 per cell]
In 0.000 0.000 0.000 [1 per cell]
Ru 0.500 0.500 0.500 [1 per cell]

## Properties
As for the formation energy: 1.073 eV per atom. For the spin magnetization, the calculation gives 0.00 μB/f.u. The energy above the most stable polymorph in this dataset is 1497 meV per atom. For the final energy, the calculation gives -5.129 eV per atom.

Record 15
Material: Ca6Ag2Hg
Method: DFT, PBE
State: relaxed

abc: 9.917 10.264 11.150
angles: 90.00 90.00 90.00
Space group Immm (No. 71)
Symmetry-distinct sites (fractional):
Ca 0.000 0.194 0.242 [8 per cell]
Ca 0.205 0.500 0.168 [8 per cell]
Ca 0.220 0.319 0.500 [8 per cell]
Ag 0.000 0.350 0.000 [4 per cell]
Ag 0.000 0.500 0.372 [4 per cell]
Hg 0.000 0.000 0.000 [2 per cell]
Hg 0.000 0.000 0.500 [2 per cell]

## Properties
As for the formation energy: -0.280 eV per atom. For the spin magnetization, the calculation gives 0.00 μB/f.u. For the final energy, the calculation gives -2.282 eV per atom.

Record 16
Material: CeHoEr2
Method: DFT, PBE
State: relaxed

abc: 7.939 7.939 7.939
angles: 90.00 90.00 90.00
Space group Fm-3m (No. 225)
Symmetry-distinct sites (fractional):
Ce 0.000 0.000 0.000 [4 per cell]
Ho 0.000 0.000 0.500 [4 per cell]
Er 0.250 0.250 0.250 [8 per cell]

## Properties
As for the formation energy: 0.160 eV per atom. For the spin magnetization, the calculation gives 0.95 μB/f.u. The energy above the most stable polymorph in this dataset is 104 meV per atom. For the final energy, the calculation gives -4.750 eV per atom.

Record 17
Material: Be3Ir2Rh
Method: DFT, PBE
State: relaxed

abc: 2.799 2.799 8.405
angles: 90.00 90.00 90.00
Space group P4/mmm (No. 123)
Symmetry-distinct sites (fractional):
Be 0.000 0.000 0.000 [1 per cell]
Be 0.000 0.000 0.332 [2 per cell]
Ir 0.500 0.500 0.168 [2 per cell]
Rh 0.500 0.500 0.500 [1 per cell]

## Properties
As for the formation energy: -0.576 eV per atom. For the spin magnetization, the calculation gives 0.00 μB/f.u. For the final energy, the calculation gives -6.618 eV per atom.

Record 18
Material: Y3TlIr
Method: DFT, PBE
State: relaxed

abc: 3.790 15.801 9.670
angles: 90.00 90.00 90.00
Space group Cmcm (No. 63)
Symmetry-distinct sites (fractional):
Y 0.000 0.126 0.250 [4 per cell]
Y 0.000 0.337 0.068 [8 per cell]
Tl 0.000 0.000 0.000 [4 per cell]
Ir 0.000 0.248 0.750 [4 per cell]

## Properties
As for the formation energy: -0.465 eV per atom. For the spin magnetization, the calculation gives 0.00 μB/f.u. The energy above the most stable polymorph in this dataset is 65 meV per atom. For the final energy, the calculation gives -6.589 eV per atom.

Record 19
Material: CdAuN2
Method: DFT, PBE
State: relaxed

abc: 4.794 4.794 11.091
angles: 90.00 90.00 90.00
Space group I-42d (No. 122)
Symmetry-distinct sites (fractional):
Cd 0.000 0.000 0.000 [4 per cell]
Au 0.000 0.000 0.500 [4 per cell]
N 0.215 0.250 0.625 [8 per cell]

## Properties
Its formation energy from raw total energies is 1.328 eV/atom. For the spin magnetization, the calculation gives 0.00 μB/f.u. For the final energy, the calculation gives -3.883 eV per atom.

Record 20
Material: Mg3HgRh
Method: DFT, PBE
State: relaxed

abc: 8.097 7.463 7.105
angles: 90.00 115.86 90.00
Space group P2_1/c (No. 14)
Symmetry-distinct sites (fractional):
Mg 0.030 0.016 0.224 [4 per cell]
Mg 0.272 0.096 0.676 [4 per cell]
Mg 0.375 0.721 0.936 [4 per cell]
Hg 0.347 0.047 0.132 [4 per cell]
Rh 0.091 0.711 0.045 [4 per cell]

## Properties
As for the formation energy: -0.306 eV per atom. For the spin magnetization, the calculation gives 0.00 μB/f.u. The energy above the most stable polymorph in this dataset is 0 meV per atom. For the final energy, the calculation gives -2.793 eV per atom.